A plane-wave DFT calculation with GGA-PBE was carried out for an optimized crystal structure of PmMg4Rh2.

Its formation energy is -419 meV/atom. For the total energy, the calculation gives -0.3020 Ry per atom. Its total magnetic moment is 0.00 μB per cell. The density of states at the Fermi level comes out at 5.00 states/eV/cell.

The structure belongs to space group P4_2/mnm (No. 136); the cell edges are 8.284, 8.284 and 4.135 Å and the angles 90.00°, 90.00° and 90.00°. The inequivalent atoms are Pm at (0.000, 0.000, 0.000), Mg at (0.098, 0.338, 0.500) and Rh at (0.196, 0.804, 0.500).